1.
Density functional theory data (PBE) for an optimized crystal structure of Y4TePb.

Geometry as CIF:
```
data_Y4TePb
_chemical_formula_sum 'Y16 Te4 Pb4'
_space_group_name_H-M_alt 'F -4 3 m'
_space_group_IT_number 216
_space_group_name_Hall 'F -4 2 3'
_cell_length_a 8.9952
_cell_length_b 8.9952
_cell_length_c 8.9952
_cell_angle_alpha 90.00
_cell_angle_beta 90.00
_cell_angle_gamma 90.00
loop_
_atom_site_label
_atom_site_type_symbol
_atom_site_fract_x
_atom_site_fract_y
_atom_site_fract_z
_atom_site_occupancy
Y1 Y 0.1242 0.1242 0.1242 1
Te1 Te 0.0000 0.0000 0.5000 1
Pb1 Pb 0.2500 0.2500 0.7500 1
```

Energy relative to the elements, uncorrected = -0.005 eV per atom
Total moment = 0.0 μB/cell

***

2.
Density functional theory data (PBE) for an optimized crystal structure of Y2TePb2.

Geometry as CIF:
```
data_Y2TePb2
_chemical_formula_sum 'Y4 Te2 Pb4'
_space_group_name_H-M_alt 'P 4/m b m'
_space_group_IT_number 127
_space_group_name_Hall '-P 4 2ab'
_cell_length_a 8.1129
_cell_length_b 8.1129
_cell_length_c 4.6448
_cell_angle_alpha 90.00
_cell_angle_beta 90.00
_cell_angle_gamma 90.00
loop_
_atom_site_label
_atom_site_type_symbol
_atom_site_fract_x
_atom_site_fract_y
_atom_site_fract_z
_atom_site_occupancy
Y1 Y 0.1706 0.3294 0.0000 1
Te1 Te 0.0000 0.0000 0.0000 1
Pb1 Pb 0.1325 0.6325 0.5000 1
```

Energy relative to the elements, uncorrected = -0.676 eV per atom
Total moment = 0.0 μB/cell

***

3.
Density functional theory data (PBE) for an optimized crystal structure of Y5Te5Pb.

Geometry as CIF:
```
data_Y5Te5Pb
_chemical_formula_sum 'Y10 Te10 Pb2'
_space_group_name_H-M_alt 'C 1 2/m 1'
_space_group_IT_number 12
_cell_length_a 13.8260
_cell_length_b 6.2003
_cell_length_c 8.7257
_cell_angle_alpha 90.00
_cell_angle_beta 108.32
_cell_angle_gamma 90.00
loop_
_space_group_symop_operation_xyz
'x,y,z'
'-x,-y,-z'
'-x,y,-z'
'x,-y,z'
'x+1/2,y+1/2,z'
'-x+1/2,-y+1/2,-z'
'-x+1/2,y+1/2,-z'
'x+1/2,-y+1/2,z'
loop_
_atom_site_label
_atom_site_type_symbol
_atom_site_fract_x
_atom_site_fract_y
_atom_site_fract_z
_atom_site_occupancy
Y1 Y 0.0000 0.0000 0.0000 1
Y2 Y 0.1634 0.5000 0.3326 1
Y3 Y 0.1637 0.5000 0.8301 1
Te1 Te 0.0000 0.5000 0.5000 1
Te2 Te 0.1654 0.0000 0.3371 1
Te3 Te 0.1664 0.0000 0.8304 1
Pb1 Pb 0.0000 0.5000 0.0000 1
```

Energy relative to the elements, uncorrected = -1.277 eV per atom
Total moment = 0.0 μB/cell

***

4.
Density functional theory data (PBE) for an optimized crystal structure of YTePb.

Geometry as CIF:
```
data_YTePb
_chemical_formula_sum 'Y1 Te1 Pb1'
_space_group_name_H-M_alt 'P 3 m 1'
_space_group_IT_number 156
_cell_length_a 3.9993
_cell_length_b 3.9993
_cell_length_c 7.1234
_cell_angle_alpha 90.00
_cell_angle_beta 90.00
_cell_angle_gamma 120.00
loop_
_space_group_symop_operation_xyz
'x,y,z'
'-y,x-y,z'
'-x+y,-x,z'
'-y,-x,z'
'-x+y,y,z'
'x,x-y,z'
loop_
_atom_site_label
_atom_site_type_symbol
_atom_site_fract_x
_atom_site_fract_y
_atom_site_fract_z
_atom_site_occupancy
Y1 Y 0.0000 0.0000 0.0000 1
Te1 Te 0.3333 0.6667 0.7317 1
Pb1 Pb 0.6667 0.3333 0.3550 1
```

Energy relative to the elements, uncorrected = -0.490 eV per atom
Total moment = 0.0 μB/cell